An optimized crystal structure of CoPHO2, computed with PBE+U.

Values from the calculation:
The energy above the most stable polymorph in this dataset comes out at 0.000 eV/f.u. The calculation puts the size of the total moment at 2.61 μB per cell. The volume comes out at 59.6 Å³/f.u. Its space group is No. 123. Its total energy is -4.31 eV/atom.

```
data_CoPHO2
_chemical_formula_sum 'Co1 P1 H1 O2'
_cell_length_a 3.474
_cell_length_b 3.474
_cell_length_c 4.941
_cell_angle_alpha 90.00
_cell_angle_beta 90.00
_cell_angle_gamma 90.00
_space_group_name_H-M_alt 'P 1'
_space_group_IT_number 1
loop_
_space_group_symop_operation_xyz
'x,y,z'
loop_
_atom_site_label
_atom_site_type_symbol
_atom_site_fract_x
_atom_site_fract_y
_atom_site_fract_z
O1 O 0.000 0.500 0.000
P1 P 0.000 0.000 0.500
Co1 Co 0.000 0.000 0.000
O2 O 0.500 0.000 0.000
H1 H 0.500 0.500 0.500
```